Computed, not measured: Na2CoO3 after structural relaxation at the PBE with a Hubbard U level of DFT.

Output
relative energy among the computed polymorphs = 11 meV/atom
spin magnetization = 4.04 μB/cell
VASP energy = -4.95 eV/atom

Cell and atoms, written as POSCAR:
```
Na2CoO3
1.0
-4.803 -1.547 1.330
4.134 -1.708 2.688
-1.092 7.243 8.046
Na Co O
8 4 12
Cartesian
-0.905 4.742 11.220
-2.947 2.848 4.688
2.543 3.739 8.605
2.067 -0.854 1.344
-0.006 2.843 5.079
-1.755 1.146 6.985
-4.305 0.250 3.459
-0.856 -0.754 0.844
1.628 0.143 4.360
-0.430 3.792 8.153
-1.331 0.197 3.910
-3.390 3.846 7.704
-0.368 1.931 8.757
0.008 0.607 5.266
0.607 3.954 9.761
0.335 -0.268 3.012
-1.635 -1.658 4.458
-2.792 0.404 5.138
1.031 3.585 6.926
-0.126 5.647 7.605
-2.096 4.257 9.052
-2.368 0.035 2.303
-1.770 3.382 6.798
-1.393 2.058 3.307
```